No. 1
Here is PmSm2PbC after structural relaxation from Alexandria via LeMat-Bulk. Energies are from PBE.

Results
E_tot, eV/cell: -29.37
Formation energy, eV/atom: -0.450
Total moment, Bohr magnetons per cell: 0.000

Unit cell a=5.088 b=5.059 c=5.059 alpha=90.00 beta=90.00 gamma=90.00
Sites, in units of the cell vectors:
1 C 0.000 0.000 0.000
2 Pm 0.500 0.000 0.000
3 Sm 0.000 0.500 0.000
4 Sm 0.000 0.000 0.500
5 Pb 0.500 0.500 0.500

=====

No. 2
Here is Pm4SnPbC after structural relaxation from Alexandria via LeMat-Bulk. Energies are from PBE.

Results
E_tot, eV/cell: -79.07
Formation energy, eV/atom: -0.514
Total moment, Bohr magnetons per cell: 0.000

Unit cell a=7.035 b=7.030 c=8.973 alpha=90.00 beta=113.08 gamma=90.00
Sites, in units of the cell vectors:
1 Pm 0.500 0.000 0.500
2 Pm 0.000 0.000 0.500
3 Pm 0.590 0.250 0.180
4 Pm 0.912 0.250 0.824
5 Pm 0.088 0.750 0.176
6 Pm 0.410 0.750 0.820
7 Pm 0.500 0.500 0.500
8 Pm 0.000 0.500 0.500
9 Pb 0.609 0.750 0.218
10 Pb 0.391 0.250 0.782
11 Sn 0.111 0.250 0.222
12 Sn 0.889 0.750 0.778
13 C 0.750 0.250 0.500
14 C 0.250 0.750 0.500

=====

No. 3
Here is Tb3PmPb2C after structural relaxation from Alexandria via LeMat-Bulk. Energies are from PBE.

Results
E_tot, eV/cell: -38.66
Formation energy, eV/atom: -0.483
Total moment, Bohr magnetons per cell: 0.000

Unit cell a=4.959 b=4.872 c=8.825 alpha=106.02 beta=106.32 gamma=90.00
Sites, in units of the cell vectors:
1 Tb 0.158 0.158 0.316
2 Tb 0.000 0.500 0.000
3 Tb 0.842 0.842 0.684
4 Pb 0.357 0.357 0.714
5 Pb 0.643 0.643 0.286
6 C 0.000 0.000 0.000
7 Pm 0.500 0.000 0.000

=====

No. 4
Here is TbPm2PbC after structural relaxation from Alexandria via LeMat-Bulk. Energies are from PBE.

Results
E_tot, eV/cell: -29.39
Formation energy, eV/atom: -0.464
Total moment, Bohr magnetons per cell: 0.000

Unit cell a=4.957 b=5.090 c=5.090 alpha=90.00 beta=90.00 gamma=90.00
Sites, in units of the cell vectors:
1 Pm 0.000 0.000 0.500
2 Pm 0.000 0.500 0.000
3 C 0.000 0.000 0.000
4 Pb 0.500 0.500 0.500
5 Tb 0.500 0.000 0.000

=====

No. 5
Here is Pm2ThPbC after structural relaxation from Alexandria via LeMat-Bulk. Energies are from PBE.

Results
E_tot, eV/cell: -31.76
Formation energy, eV/atom: -0.382
Total moment, Bohr magnetons per cell: 0.000

Unit cell a=5.044 b=5.121 c=5.121 alpha=90.00 beta=90.00 gamma=90.00
Sites, in units of the cell vectors:
1 C 0.000 0.000 0.000
2 Pb 0.500 0.500 0.500
3 Pm 0.000 0.500 0.000
4 Pm 0.000 0.000 0.500
5 Th 0.500 0.000 0.000

=====

No. 6
Here is Pm3ThPb2C after structural relaxation from Alexandria via LeMat-Bulk. Energies are from PBE.

Results
E_tot, eV/cell: -41.23
Formation energy, eV/atom: -0.417
Total moment, Bohr magnetons per cell: 0.000

Unit cell a=4.988 b=5.043 c=9.015 alpha=106.24 beta=106.06 gamma=90.00
Sites, in units of the cell vectors:
1 Pm 0.000 0.500 0.000
2 Pm 0.840 0.840 0.681
3 Pm 0.160 0.160 0.319
4 Th 0.500 0.000 0.000
5 Pb 0.358 0.358 0.716
6 Pb 0.642 0.642 0.284
7 C 0.000 0.000 0.000

=====

No. 7
Here is Pm4TlPbC after structural relaxation from Alexandria via LeMat-Bulk. Energies are from PBE.

Results
E_tot, eV/cell: -73.56
Formation energy, eV/atom: -0.354
Total moment, Bohr magnetons per cell: 0.000

Unit cell a=7.113 b=7.112 c=8.848 alpha=90.00 beta=113.70 gamma=90.00
Sites, in units of the cell vectors:
1 Tl 0.613 0.750 0.227
2 Tl 0.387 0.250 0.773
3 Pm 0.500 0.000 0.500
4 Pm 0.500 0.500 0.500
5 Pm 0.588 0.250 0.175
6 Pm 0.412 0.750 0.825
7 Pm 0.911 0.250 0.822
8 Pm 0.000 0.500 0.500
9 Pm 0.000 0.000 0.500
10 Pm 0.089 0.750 0.178
11 Pb 0.888 0.750 0.776
12 Pb 0.112 0.250 0.224
13 C 0.749 0.250 0.498
14 C 0.251 0.750 0.502

=====

No. 8
Here is Pm2Tm2Pb2C after structural relaxation from Alexandria via LeMat-Bulk. Energies are from PBE.

Results
E_tot, eV/cell: -39.39
Formation energy, eV/atom: -0.615
Total moment, Bohr magnetons per cell: 0.000

Unit cell a=4.797 b=4.797 c=8.912 alpha=105.61 beta=105.61 gamma=90.00
Sites, in units of the cell vectors:
1 C 0.000 0.000 0.000
2 Pb 0.638 0.638 0.276
3 Pb 0.362 0.362 0.724
4 Pm 0.841 0.841 0.683
5 Pm 0.159 0.159 0.317
6 Tm 0.000 0.500 0.000
7 Tm 0.500 0.000 0.000

=====

No. 9
Here is Pm2TmPbC after structural relaxation from Alexandria via LeMat-Bulk. Energies are from PBE.

Results
E_tot, eV/cell: -29.26
Formation energy, eV/atom: -0.471
Total moment, Bohr magnetons per cell: 0.000

Unit cell a=4.847 b=5.096 c=5.096 alpha=90.00 beta=90.00 gamma=90.00
Sites, in units of the cell vectors:
1 Pb 0.500 0.500 0.500
2 C 0.000 0.000 0.000
3 Pm 0.000 0.500 0.000
4 Pm 0.000 0.000 0.500
5 Tm 0.500 0.000 0.000

=====

No. 10
Here is PmY2PbC after structural relaxation from Alexandria via LeMat-Bulk. Energies are from PBE.

Results
E_tot, eV/cell: -33.22
Formation energy, eV/atom: -0.523
Total moment, Bohr magnetons per cell: 0.000

Unit cell a=5.092 b=4.934 c=4.934 alpha=90.00 beta=90.00 gamma=90.00
Sites, in units of the cell vectors:
1 Y 0.000 0.500 0.000
2 Y 0.000 0.000 0.500
3 Pb 0.500 0.500 0.500
4 Pm 0.500 0.000 0.000
5 C 0.000 0.000 0.000

=====

No. 11
Here is Pr3PbC after structural relaxation from Alexandria via LeMat-Bulk. Energies are from PBE.

Results
Energy relative to the lowest polymorph listed for this composition, meV per atom: 0
E_tot, eV/cell: -29.12
Formation energy, eV/atom: -0.370
Total moment, Bohr magnetons per cell: 0.000

Unit cell a=5.185 b=5.185 c=5.185 alpha=90.00 beta=90.00 gamma=90.00
Sites, in units of the cell vectors:
1 Pr 0.000 0.500 0.000
2 Pr 0.000 0.000 0.500
3 Pr 0.500 0.000 0.000
4 C 0.000 0.000 0.000
5 Pb 0.500 0.500 0.500

=====

No. 12
Here is Pr4Pb2C after structural relaxation from Alexandria via LeMat-Bulk. Energies are from PBE.

Results
Energy relative to the lowest polymorph listed for this composition, meV per atom: 64
E_tot, eV/cell: -76.34
Formation energy, eV/atom: -0.345
Total moment, Bohr magnetons per cell: 0.000

Unit cell a=6.933 b=7.017 c=9.755 alpha=90.00 beta=110.94 gamma=90.00
Sites, in units of the cell vectors:
1 Pb 0.692 0.750 0.037
2 Pb 0.198 0.250 0.421
3 Pb 0.802 0.750 0.579
4 Pb 0.308 0.250 0.963
5 Pr 0.111 0.750 0.938
6 Pr 0.070 0.750 0.348
7 Pr 0.489 0.502 0.731
8 Pr 0.511 0.002 0.269
9 Pr 0.511 0.498 0.269
10 Pr 0.889 0.250 0.062
11 Pr 0.930 0.250 0.652
12 Pr 0.489 0.998 0.731
13 C 0.276 0.750 0.198
14 C 0.724 0.250 0.802

=====

Q: What is the formation energy in the eighth record?
A: -0.615 eV/atom

=====

Please write out number 3 again, unchanged.
Here is Tb3PmPb2C after structural relaxation from Alexandria via LeMat-Bulk. Energies are from PBE.

Results
E_tot, eV/cell: -38.66
Formation energy, eV/atom: -0.483
Total moment, Bohr magnetons per cell: 0.000

Unit cell a=4.959 b=4.872 c=8.825 alpha=106.02 beta=106.32 gamma=90.00
Sites, in units of the cell vectors:
1 Tb 0.158 0.158 0.316
2 Tb 0.000 0.500 0.000
3 Tb 0.842 0.842 0.684
4 Pb 0.357 0.357 0.714
5 Pb 0.643 0.643 0.286
6 C 0.000 0.000 0.000
7 Pm 0.500 0.000 0.000

=====

Q: Look up the E_tot of the first one.
A: -29.37 eV/cell

=====

Q: What is the formula in the seventh record?
A: Pm4TlPbC